The following is a DFT calculation (PBE) of a relaxed structure of Pm4Nd8Er3.

Values from the calculation:
* E_tot: -4.404 eV per atom
* volume: 1039.92 Å³ per cell
* energy above the most stable polymorph in this dataset: 194 meV/atom
* Fermi-level density of states: 1.63 states/eV per atom

Geometry as CIF:
```
data_Pm4Nd8Er3
_chemical_formula_sum 'Pm8 Nd16 Er6'
_cell_length_a 14.008
_cell_length_b 12.302
_cell_length_c 6.894
_cell_angle_alpha 90.00
_cell_angle_beta 118.93
_cell_angle_gamma 90.00
_space_group_name_H-M_alt 'C 1 2/m 1'
_space_group_IT_number 12
loop_
_space_group_symop_operation_xyz
'x,y,z'
'-x,-y,-z'
'-x,y,-z'
'x,-y,z'
'x+1/2,y+1/2,z'
'-x+1/2,-y+1/2,-z'
'-x+1/2,y+1/2,-z'
'x+1/2,-y+1/2,z'
loop_
_atom_site_label
_atom_site_type_symbol
_atom_site_fract_x
_atom_site_fract_y
_atom_site_fract_z
Pm1 Pm 0.000 0.000 0.000
Pm2 Pm 0.000 0.000 0.500
Pm3 Pm 0.250 0.250 0.000
Nd1 Nd 0.000 0.248 0.500
Nd2 Nd 0.000 0.299 0.000
Nd3 Nd 0.201 0.500 0.173
Nd4 Nd 0.247 0.000 0.288
Er1 Er 0.000 0.500 0.500
Er2 Er 0.250 0.250 0.500
```

The following is a DFT calculation (PBE) of a relaxed structure of Pm2Nd12Er5.

Values from the calculation:
* E_tot: -4.583 eV per atom
* volume: 1311.05 Å³ per cell
* energy above the most stable polymorph in this dataset: 30 meV/atom
* Fermi-level density of states: 1.38 states/eV per atom

Geometry as CIF:
```
data_Pm2Nd12Er5
_chemical_formula_sum 'Pm4 Nd24 Er10'
_cell_length_a 15.996
_cell_length_b 10.147
_cell_length_c 8.080
_cell_angle_alpha 90.00
_cell_angle_beta 91.35
_cell_angle_gamma 90.00
_space_group_name_H-M_alt 'C 1 2/m 1'
_space_group_IT_number 12
loop_
_space_group_symop_operation_xyz
'x,y,z'
'-x,-y,-z'
'-x,y,-z'
'x,-y,z'
'x+1/2,y+1/2,z'
'-x+1/2,-y+1/2,-z'
'-x+1/2,y+1/2,-z'
'x+1/2,-y+1/2,z'
loop_
_atom_site_label
_atom_site_type_symbol
_atom_site_fract_x
_atom_site_fract_y
_atom_site_fract_z
Pm1 Pm 0.000 0.232 0.000
Nd1 Nd 0.052 0.500 0.712
Nd2 Nd 0.106 0.274 0.388
Nd3 Nd 0.157 0.000 0.123
Nd4 Nd 0.190 0.229 0.792
Er1 Er 0.000 0.000 0.500
Er2 Er 0.149 0.500 0.084
Er3 Er 0.247 0.000 0.489
```

The following is a DFT calculation (PBE) of a relaxed structure of Pm8NdEr2.

Values from the calculation:
* E_tot: -4.572 eV per atom
* volume: 775.01 Å³ per cell
* energy above the most stable polymorph in this dataset: 6 meV/atom
* Fermi-level density of states: 1.53 states/eV per atom

Geometry as CIF:
```
data_Pm8NdEr2
_chemical_formula_sum 'Pm16 Nd2 Er4'
_cell_length_a 19.398
_cell_length_b 7.064
_cell_length_c 5.665
_cell_angle_alpha 90.00
_cell_angle_beta 93.31
_cell_angle_gamma 90.00
_space_group_name_H-M_alt 'C 1 2/m 1'
_space_group_IT_number 12
loop_
_space_group_symop_operation_xyz
'x,y,z'
'-x,-y,-z'
'-x,y,-z'
'x,-y,z'
'x+1/2,y+1/2,z'
'-x+1/2,-y+1/2,-z'
'-x+1/2,y+1/2,-z'
'x+1/2,-y+1/2,z'
loop_
_atom_site_label
_atom_site_type_symbol
_atom_site_fract_x
_atom_site_fract_y
_atom_site_fract_z
Pm1 Pm 0.045 0.000 0.238
Pm2 Pm 0.133 0.232 0.731
Pm3 Pm 0.188 0.500 0.231
Nd1 Nd 0.000 0.500 0.000
Er1 Er 0.215 0.000 0.254
```

The following is a DFT calculation (PBE) of a relaxed structure of Pm8NdEr4.

Values from the calculation:
* E_tot: -4.512 eV per atom
* volume: 1311.48 Å³ per cell
* Fermi-level density of states: 1.10 states/eV per atom

Geometry as CIF:
```
data_Pm8NdEr4
_chemical_formula_sum 'Pm24 Nd3 Er12'
_cell_length_a 7.3385
_cell_length_b 7.3385
_cell_length_c 28.1199
_cell_angle_alpha 90.00
_cell_angle_beta 90.00
_cell_angle_gamma 120.00
_space_group_name_H-M_alt 'R -3 m'
_space_group_IT_number 166
_space_group_name_Hall '-R 3 2"'
loop_
_atom_site_label
_atom_site_type_symbol
_atom_site_fract_x
_atom_site_fract_y
_atom_site_fract_z
Pm1 Pm 0.0000 0.0000 0.2164
Pm2 Pm 0.0333 0.5167 0.7655
Nd1 Nd 0.0000 0.0000 0.5000
Er1 Er 0.0000 0.0000 0.0000
Er2 Er 0.0000 0.5000 0.0000
```

The following is a DFT calculation (PBE) of a relaxed structure of Pm2Nd8Er.

Values from the calculation:
* E_tot: -4.627 eV per atom
* volume: 770.83 Å³ per cell
* energy above the most stable polymorph in this dataset: 0 meV/atom
* Fermi-level density of states: 1.64 states/eV per atom

Geometry as CIF:
```
data_Pm2Nd8Er
_chemical_formula_sum 'Pm4 Nd16 Er2'
_cell_length_a 11.360
_cell_length_b 7.502
_cell_length_c 9.441
_cell_angle_alpha 90.00
_cell_angle_beta 106.66
_cell_angle_gamma 90.00
_space_group_name_H-M_alt 'C 1 2/m 1'
_space_group_IT_number 12
loop_
_space_group_symop_operation_xyz
'x,y,z'
'-x,-y,-z'
'-x,y,-z'
'x,-y,z'
'x+1/2,y+1/2,z'
'-x+1/2,-y+1/2,-z'
'-x+1/2,y+1/2,-z'
'x+1/2,-y+1/2,z'
loop_
_atom_site_label
_atom_site_type_symbol
_atom_site_fract_x
_atom_site_fract_y
_atom_site_fract_z
Pm1 Pm 0.142 0.000 0.132
Nd1 Nd 0.067 0.283 0.773
Nd2 Nd 0.181 0.500 0.128
Nd3 Nd 0.191 0.500 0.498
Er1 Er 0.000 0.000 0.500
```

The following is a DFT calculation (PBE) of a relaxed structure of Pm5Nd2Er6.

Values from the calculation:
* E_tot: -4.571 eV per atom
* volume: 862.69 Å³ per cell
* Fermi-level density of states: 1.29 states/eV per atom

Geometry as CIF:
```
data_Pm5Nd2Er6
_chemical_formula_sum 'Pm10 Nd4 Er12'
_cell_length_a 11.716
_cell_length_b 20.491
_cell_length_c 3.593
_cell_angle_alpha 90.00
_cell_angle_beta 90.00
_cell_angle_gamma 90.00
_space_group_name_H-M_alt 'P b a m'
_space_group_IT_number 55
loop_
_space_group_symop_operation_xyz
'x,y,z'
'-x,-y,-z'
'-x,-y,z'
'x,y,-z'
'x+1/2,-y+1/2,-z'
'-x+1/2,y+1/2,z'
'-x+1/2,y+1/2,-z'
'x+1/2,-y+1/2,z'
loop_
_atom_site_label
_atom_site_type_symbol
_atom_site_fract_x
_atom_site_fract_y
_atom_site_fract_z
Pm1 Pm 0.000 0.000 0.000
Pm2 Pm 0.087 0.278 0.000
Pm3 Pm 0.201 0.552 0.000
Nd1 Nd 0.172 0.717 0.500
Er1 Er 0.061 0.423 0.500
Er2 Er 0.076 0.135 0.500
Er3 Er 0.181 0.871 0.000
```

The following is a DFT calculation (PBE) of a relaxed structure of PmNd7Er3.

Values from the calculation:
* E_tot: -4.533 eV per atom
* volume: 1576.03 Å³ per cell
* energy above the most stable polymorph in this dataset: 0 meV/atom
* Fermi-level density of states: 1.52 states/eV per atom

Geometry as CIF:
```
data_PmNd7Er3
_chemical_formula_sum 'Pm4 Nd28 Er12'
_cell_length_a 19.245
_cell_length_b 7.246
_cell_length_c 12.561
_cell_angle_alpha 90.00
_cell_angle_beta 115.87
_cell_angle_gamma 90.00
_space_group_name_H-M_alt 'C 1 2/c 1'
_space_group_IT_number 15
loop_
_space_group_symop_operation_xyz
'x,y,z'
'-x,-y,-z'
'-x,y,-z+1/2'
'x,-y,z+1/2'
'x+1/2,y+1/2,z'
'-x+1/2,-y+1/2,-z'
'-x+1/2,y+1/2,-z+1/2'
'x+1/2,-y+1/2,z+1/2'
loop_
_atom_site_label
_atom_site_type_symbol
_atom_site_fract_x
_atom_site_fract_y
_atom_site_fract_z
Pm1 Pm 0.000 0.000 0.000
Nd1 Nd 0.000 0.234 0.250
Nd2 Nd 0.161 0.493 0.775
Nd3 Nd 0.168 0.247 0.530
Nd4 Nd 0.168 0.249 0.028
Er1 Er 0.000 0.500 0.000
Er2 Er 0.169 0.004 0.276
```

The following is a DFT calculation (PBE) of a relaxed structure of Pm4Nd3Er.

Values from the calculation:
* E_tot: -4.732 eV per atom
* volume: 546.64 Å³ per cell
* energy above the most stable polymorph in this dataset: 0 meV/atom
* Fermi-level density of states: 1.27 states/eV per atom

Geometry as CIF:
```
data_Pm4Nd3Er
_chemical_formula_sum 'Pm8 Nd6 Er2'
_cell_length_a 11.794
_cell_length_b 6.332
_cell_length_c 7.320
_cell_angle_alpha 90.00
_cell_angle_beta 90.00
_cell_angle_gamma 90.00
_space_group_name_H-M_alt 'P m n 21'
_space_group_IT_number 31
loop_
_space_group_symop_operation_xyz
'x,y,z'
'-x+1/2,-y,z+1/2'
'-x,y,z'
'x+1/2,-y,z+1/2'
loop_
_atom_site_label
_atom_site_type_symbol
_atom_site_fract_x
_atom_site_fract_y
_atom_site_fract_z
Pm1 Pm 0.000 0.167 0.000
Pm2 Pm 0.000 0.667 0.251
Pm3 Pm 0.249 0.499 0.500
Nd1 Nd 0.000 0.667 0.749
Nd2 Nd 0.250 0.000 0.249
Er1 Er 0.000 0.166 0.499
```

The following is a DFT calculation (PBE) of a relaxed structure of Pm4NdEr5.

Values from the calculation:
* E_tot: -4.372 eV per atom
* volume: 665.67 Å³ per cell
* energy above the most stable polymorph in this dataset: 92 meV/atom
* Fermi-level density of states: 1.43 states/eV per atom

Geometry as CIF:
```
data_Pm4NdEr5
_chemical_formula_sum 'Pm8 Nd2 Er10'
_cell_length_a 10.312
_cell_length_b 10.312
_cell_length_c 6.260
_cell_angle_alpha 90.00
_cell_angle_beta 90.00
_cell_angle_gamma 90.00
_space_group_name_H-M_alt 'I 4'
_space_group_IT_number 79
loop_
_space_group_symop_operation_xyz
'x,y,z'
'-y,x,z'
'-x,-y,z'
'y,-x,z'
'x+1/2,y+1/2,z+1/2'
'-y+1/2,x+1/2,z+1/2'
'-x+1/2,-y+1/2,z+1/2'
'y+1/2,-x+1/2,z+1/2'
loop_
_atom_site_label
_atom_site_type_symbol
_atom_site_fract_x
_atom_site_fract_y
_atom_site_fract_z
Pm1 Pm 0.047 0.651 0.000
Nd1 Nd 0.000 0.000 0.767
Er1 Er 0.000 0.000 0.229
Er2 Er 0.150 0.771 0.495
```

no.,total moment (μB per formula unit),formation enthalpy at 0 K (kJ/mol of formula units)
1,0.28,461
2,0.00,236
3,0.00,155
4,0.00,228
5,0.00,127
6,0.00,120
7,0.00,188
8,0.02,1
9,0.00,277